The following is a DFT calculation (GGA-PBE) of a relaxed BaLiCdBi2 crystal.

Properties
DFT formation energy, kJ/mol of formula units: -175
DOS(E_F), states/eV per atom: 0.264
Energy above the most stable polymorph in this dataset, kJ/mol of atoms: 18.4
Space group: P4/mmm, No. 123
V, Å³/atom: 31.12

Unit cell a=5.354 b=5.354 c=5.428 alpha=90.00 beta=90.00 gamma=90.00
Fractional positions:
Ba1 0.000 0.000 0.000
Li1 0.500 0.500 0.500
Cd1 0.500 0.500 0.000
Bi1 0.000 0.500 0.500
Bi2 0.500 0.000 0.500


The following is a DFT calculation (GGA-PBE) of a relaxed Ba2LiCd3Bi4 crystal.

Properties
DFT formation energy, kJ/mol of formula units: -446
DOS(E_F), states/eV per atom: 0.264
Space group: P-4m2, No. 115
V, Å³/atom: 33.17

Unit cell a=5.339 b=5.339 c=11.639 alpha=90.00 beta=90.00 gamma=90.00
Fractional positions:
Ba1 0.000 0.500 0.247
Ba2 0.500 0.000 0.753
Li1 0.000 0.000 0.500
Cd1 0.000 0.500 0.873
Cd2 0.500 0.000 0.127
Cd3 0.500 0.500 0.500
Bi1 0.000 0.000 0.000
Bi2 0.000 0.500 0.624
Bi3 0.500 0.000 0.376
Bi4 0.500 0.500 0.000


The following is a DFT calculation (GGA-PBE) of a relaxed Ba2LiCdBi6 crystal.

Properties
DFT formation energy, kJ/mol of formula units: -398
DOS(E_F), states/eV per atom: 0.344
Space group: P-1, No. 2
V, Å³/atom: 34.73

Unit cell a=6.961 b=7.299 c=7.560 alpha=86.01 beta=80.24 gamma=66.53
Fractional positions:
Ba1 0.190 0.311 0.246
Ba2 0.810 0.689 0.754
Li1 0.500 0.500 0.500
Cd1 0.000 0.000 0.000
Bi1 0.143 0.837 0.354
Bi2 0.338 0.577 0.863
Bi3 0.356 0.176 0.700
Bi4 0.644 0.824 0.300
Bi5 0.662 0.423 0.137
Bi6 0.857 0.163 0.646


The following is a DFT calculation (GGA-PBE) of a relaxed BaLiCdBi2 crystal.

Properties
DFT formation energy, kJ/mol of formula units: -267
DOS(E_F), states/eV per atom: 0.496
Energy above the most stable polymorph in this dataset, kJ/mol of atoms: 0.0
Space group: I-4m2, No. 119
V, Å³/atom: 31.92

Unit cell a=7.688 b=7.688 c=7.688 alpha=143.53 beta=143.53 gamma=52.53
Fractional positions:
Ba1 0.000 0.000 0.000
Li1 0.750 0.250 0.500
Cd1 0.250 0.750 0.500
Bi1 0.380 0.380 0.000
Bi2 0.620 0.620 0.000


The following is a DFT calculation (GGA-PBE) of a relaxed Ba2Li3CdBi4 crystal.

Properties
DFT formation energy, kJ/mol of formula units: -644
DOS(E_F), states/eV per atom: 0.130
Space group: P-4m2, No. 115
V, Å³/atom: 29.72

Unit cell a=4.950 b=4.950 c=12.127 alpha=90.00 beta=90.00 gamma=90.00
Fractional positions:
Ba1 0.000 0.500 0.245
Ba2 0.500 0.000 0.755
Li1 0.000 0.500 0.873
Li2 0.500 0.000 0.127
Li3 0.500 0.500 0.500
Cd1 0.000 0.000 0.500
Bi1 0.000 0.000 0.000
Bi2 0.000 0.500 0.643
Bi3 0.500 0.000 0.357
Bi4 0.500 0.500 0.000


The following is a DFT calculation (GGA-PBE) of a relaxed BaMgCdBi2 crystal.

Properties
DFT formation energy, kJ/mol of formula units: -198
DOS(E_F), states/eV per atom: 0.131
Space group: Cmme, No. 67
V, Å³/atom: 35.05

Unit cell a=8.453 b=8.453 c=6.802 alpha=90.00 beta=90.00 gamma=133.85
Fractional positions:
Ba1 0.250 0.750 0.771
Ba2 0.750 0.250 0.229
Mg1 0.250 0.250 0.500
Mg2 0.750 0.750 0.500
Cd1 0.000 0.000 0.000
Cd2 0.500 0.500 0.000
Bi1 0.133 0.867 0.278
Bi2 0.367 0.633 0.278
Bi3 0.633 0.367 0.722
Bi4 0.867 0.133 0.722


> Look up the V of the third one.

34.73 Å³/atom